Entry 1:
A relaxed structure of TbBe17Fe. Source: the Alexandria database, functional GGA-PBE.

Cell lengths 5.6547, 5.6547, 5.6547 Å; angles 83.03, 83.03, 83.03 degrees
Closest atoms and distances in Å follow each position.
Element x y z (fractional)
Tb  0.0000  0.0000  0.0000  19 Be 2.71-2.85
Be  0.0067  0.0067  0.4953  9 Be 2.17-2.40
Be  0.0067  0.4953  0.0067  9 Be 2.17-2.40
Be  0.1541  0.6623  0.6623  10 Be 2.13-2.31
Be  0.3189  0.3189  0.7912  9 Be 2.13-2.27
Be  0.3189  0.7912  0.3189  9 Be 2.13-2.27
Be  0.3696  0.6496  0.9550  8 Be 2.10-2.30
Be  0.3696  0.9550  0.6496  8 Be 2.10-2.30
Be  0.4953  0.0067  0.0067  9 Be 2.17-2.40
Be  0.5574  0.5574  0.5574  7 Be 2.11-2.31
Be  0.6496  0.3696  0.9550  8 Be 2.10-2.30
Be  0.6496  0.9550  0.3696  8 Be 2.10-2.30
Be  0.6623  0.1541  0.6623  10 Be 2.13-2.31
Be  0.6623  0.6623  0.1541  10 Be 2.13-2.31
Be  0.7509  0.7509  0.7509  4 Be 2.11-2.28
Be  0.7912  0.3189  0.3189  9 Be 2.13-2.27
Be  0.9550  0.3696  0.6496  8 Be 2.10-2.30
Be  0.9550  0.6496  0.3696  8 Be 2.10-2.30
Fe  0.3400  0.3400  0.3400  10 Be 2.37-2.62

formation energy	-0.0403	eV per atom
total moment	1.968	μB per formula unit

Entry 2:
A relaxed structure of AlTeRhI2. Source: the Alexandria database, functional GGA-PBE.

Cell lengths 5.6190, 5.6190, 5.0822 Å; angles 90.00, 90.00, 90.00 degrees
Closest atoms and distances in Å follow each position.
Element x y z (fractional)
Al  0.0000  0.0000  0.0000  8 I 3.79, 4 Te 3.97
Te  0.5000  0.5000  0.0000  2 Rh 2.54
Rh  0.5000  0.5000  0.5000  2 Te 2.54, 4 I 2.81
I  0.0000  0.5000  0.5000  2 Rh 2.81
I  0.5000  0.0000  0.5000  2 Rh 2.81

E_form (uncorrected)	0.236	eV/atom
total moment	0.000	μB per formula unit
ΔE to the lowest computed polymorph	0.0	kJ/mol of formula units

Entry 3:
A relaxed structure of RbCa2Mo. Source: the Alexandria database, functional GGA-PBE.

Cell lengths 8.3014, 8.3014, 11.7140 Å; angles 90.00, 90.00, 90.00 degrees
Closest atoms and distances in Å follow each position.
Element x y z (fractional)
Rb  0.0000  0.0000  0.0000  12 Ca 4.86-4.88, 4 Mo 5.08, 4 Rb 5.08
Rb  0.0000  0.5000  0.2500  12 Ca 4.86-4.88, 4 Mo 5.08, 4 Rb 5.08
Rb  0.5000  0.0000  0.7500  12 Ca 4.86-4.88, 4 Mo 5.08, 4 Rb 5.08
Rb  0.5000  0.5000  0.5000  12 Ca 4.86-4.88, 4 Mo 5.08, 4 Rb 5.08
Ca  0.0014  0.7500  0.6250  2 Mo 2.54
Ca  0.2500  0.0014  0.3750  2 Mo 2.54
Ca  0.2500  0.4986  0.8750  2 Mo 2.54
Ca  0.4986  0.7500  0.1250  2 Mo 2.54
Ca  0.5014  0.2500  0.1250  2 Mo 2.54
Ca  0.7500  0.5014  0.8750  2 Mo 2.54
Ca  0.7500  0.9986  0.3750  2 Mo 2.54
Ca  0.9986  0.2500  0.6250  2 Mo 2.54
Mo  0.0000  0.0000  0.5000  4 Ca 2.54
Mo  0.0000  0.5000  0.7500  4 Ca 2.54
Mo  0.5000  0.0000  0.2500  4 Ca 2.54
Mo  0.5000  0.5000  0.0000  4 Ca 2.54

formation energy	1.4220	eV per atom
total moment	1.220	μB per formula unit
ΔE to the lowest computed polymorph	157.8	kJ/mol of formula units

Entry 4:
A relaxed structure of KTl2Si. Source: the Alexandria database, functional GGA-PBE.

Cell lengths 3.6780, 3.6780, 30.8812 Å; angles 90.00, 90.00, 120.00 degrees
Closest atoms and distances in Å follow each position.
Element x y z (fractional)
K  0.0000  0.0000  0.0000  3 Si 3.36, 6 K 3.68, 3 Tl 3.73
K  0.3333  0.6667  0.6667  3 Si 3.36, 6 K 3.68, 3 Tl 3.73
K  0.6667  0.3333  0.3333  3 Si 3.36, 6 K 3.68, 3 Tl 3.73
Tl  0.0000  0.0000  0.2339  9 Tl 3.39-3.68, 3 K 3.73
Tl  0.0000  0.0000  0.4816  3 Si 2.90
Tl  0.3333  0.6667  0.1483  3 Si 2.90
Tl  0.3333  0.6667  0.9006  9 Tl 3.39-3.68, 3 K 3.73
Tl  0.6667  0.3333  0.5672  9 Tl 3.39-3.68, 3 K 3.73
Tl  0.6667  0.3333  0.8149  3 Si 2.90
Si  0.0000  0.0000  0.7510  3 Tl 2.90
Si  0.3333  0.6667  0.4176  3 Tl 2.90
Si  0.6667  0.3333  0.0843  3 Tl 2.90

E_form (uncorrected)	0.341	eV/atom
total moment	0.000	μB per formula unit
ΔE to the lowest computed polymorph	86.2	kJ/mol of formula units

- Which value of total moment does entry 4 give?
  0.000 μB per formula unit

- Look up the total moment of the third one.
  1.220 μB per formula unit